# InPdS2N (PBE-GGA, optimized geometry)
data_InPdS2N
_chemical_formula_sum 'In1 Pd1 S2 N1'
_cell_length_a 4.9914
_cell_length_b 4.9914
_cell_length_c 3.7158
_cell_angle_alpha 90.00
_cell_angle_beta 90.00
_cell_angle_gamma 90.00
_symmetry_space_group_name_H-M 'P 4/m m m'
_symmetry_Int_Tables_number 123
_symmetry_space_group_name_Hall '-P 4 2'
loop_
_atom_site_label
_atom_site_type_symbol
_atom_site_fract_x
_atom_site_fract_y
_atom_site_fract_z
_atom_site_occupancy
In1 In 0.0000 0.0000 0.0000 1
Pd1 Pd 0.5000 0.5000 0.5000 1
S1 S 0.0000 0.5000 0.5000 1
N1 N 0.5000 0.5000 0.0000 1
# mass density	5.37	Mg/m³
# M_tot	0.00	μB/f.u.
# total energy	-4.3231	eV per atom
# ΔE_f (raw)	2.90	eV per formula unit